1.
Here is a relaxed La2Ir2Cl crystal from Alexandria. Energies are from PBE.

Cell lengths 5.5010, 5.5010, 5.7054 Å; angles 61.18, 61.18, 90.00 degrees
Closest atoms and distances in Å follow each position.
Fractional coordinates of all 5 atoms:
Cl 0.0000 0.0000 0.0000  2 Ir 2.91
Ir 0.3480 0.3480 0.3039  1 Ir 2.54
Ir 0.6520 0.6520 0.6961  1 Ir 2.54
La 0.7500 0.2500 0.5000  4 Ir 2.87
La 0.2500 0.7500 0.5000  4 Ir 2.87

Computed properties:
energy relative to the elements, uncorrected	-0.67	eV/atom
crystal system	tetragonal
calculated volume	25.26	A^3/atom
total moment	0.0	μB/f.u.
raw total energy	-32.77	eV per cell
energy above the most stable polymorph in this dataset	0.2445	eV/atom

=====

2.
Here is a relaxed LaIr2Cl crystal from Alexandria. Energies are from PBE.

Cell lengths 4.8453, 4.8453, 4.8453 Å; angles 60.00, 60.00, 60.00 degrees
Closest atoms and distances in Å follow each position.
Fractional coordinates of all 4 atoms:
Cl 0.0000 0.0000 0.0000  8 Ir 2.97
Ir 0.2500 0.2500 0.2500  4 Cl 2.97, 4 La 2.97
Ir 0.7500 0.7500 0.7500  4 La 2.97, 4 Cl 2.97
La 0.5000 0.5000 0.5000  8 Ir 2.97

Computed properties:
energy relative to the elements, uncorrected	0.52	eV/atom
crystal system	cubic
calculated volume	20.11	A^3/atom
total moment	0.0	μB/f.u.
raw total energy	-22.40	eV per cell
energy above the most stable polymorph in this dataset	1.1492	eV/atom